Here is crystalline TbYZnHg at its relaxed geometry from Alexandria via LeMat-Bulk. Energies are from GGA-PBE.

Unit cell a=3.6258 b=3.6258 c=7.4316 alpha=90.00 beta=90.00 gamma=90.00
Last column: nearest neighbours and their distance in Å.
Space group P4mm (No. 99)
Unique sites:
Tb  0.0000  0.0000  0.0000 x1  4 Zn 3.10, 4 Hg 3.24, 1 Y 3.47
Y  0.0000  0.0000  0.4675 x1  4 Zn 3.09, 4 Hg 3.24
Zn  0.5000  0.5000  0.2351 x1  4 Y 3.09, 4 Tb 3.10
Hg  0.5000  0.5000  0.7333 x1  4 Y 3.24, 4 Tb 3.24

Magnetic moment = 0.00 μB per formula unit
ΔH_f (0 K) = -424.9 meV/atom


Here is crystalline TbYZnHg at its relaxed geometry from Alexandria via LeMat-Bulk. Energies are from GGA-PBE.

Unit cell a=7.3355 b=7.3355 c=7.3355 alpha=90.00 beta=90.00 gamma=90.00
Last column: nearest neighbours and their distance in Å.
Space group F-43m (No. 216)
Unique sites:
Tb  0.0000  0.0000  0.0000 x4  4 Zn 3.18, 4 Hg 3.18
Y  0.0000  0.0000  0.5000 x4  4 Hg 3.18, 4 Zn 3.18
Zn  0.2500  0.2500  0.2500 x4  4 Y 3.18, 4 Tb 3.18
Hg  0.2500  0.2500  0.7500 x4  4 Tb 3.18, 4 Y 3.18

Magnetic moment = 0.28 μB per formula unit
ΔH_f (0 K) = -407.9 meV/atom


Here is crystalline Tb4ZnHg3 at its relaxed geometry from Alexandria via LeMat-Bulk. Energies are from GGA-PBE.

Unit cell a=3.6787 b=3.6787 c=14.9458 alpha=90.00 beta=90.00 gamma=90.00
Last column: nearest neighbours and their distance in Å.
Space group P4/mmm (No. 123)
Unique sites:
Tb  0.0000  0.0000  0.1143 x2  4 Zn 3.11, 4 Hg 3.24, 1 Tb 3.42
Tb  0.0000  0.0000  0.3724 x2  8 Hg 3.23-3.24
Zn  0.5000  0.5000  0.0000 x1  8 Tb 3.11
Hg  0.5000  0.5000  0.2430 x2  8 Tb 3.24
Hg  0.5000  0.5000  0.5000 x1  8 Tb 3.23

Magnetic moment = 0.46 μB per formula unit
ΔH_f (0 K) = -443.1 meV/atom


Here is crystalline Tb3ZnHg2 at its relaxed geometry from Alexandria via LeMat-Bulk. Energies are from GGA-PBE.

Unit cell a=5.2126 b=5.2126 c=12.8503 alpha=90.00 beta=90.00 gamma=120.00
Last column: nearest neighbours and their distance in Å.
Space group P-3m1 (No. 164)
Unique sites:
Tb  0.0000  0.0000  0.2447 x2  5 Hg 3.14-3.28, 3 Zn 3.18
Tb  0.3333  0.6667  0.4122 x2  1 Zn 3.17, 7 Hg 3.20-3.34
Tb  0.3333  0.6667  0.9181 x2  4 Hg 3.16-3.19, 4 Zn 3.18-3.20
Zn  0.3333  0.6667  0.1656 x2  8 Tb 3.17-3.20
Hg  0.0000  0.0000  0.0000 x1  8 Tb 3.14-3.19
Hg  0.0000  0.0000  0.5000 x1  8 Tb 3.21-3.28
Hg  0.3333  0.6667  0.6722 x2  8 Tb 3.16-3.34

Magnetic moment = 0.50 μB per formula unit
ΔH_f (0 K) = -420.4 meV/atom